A geometry-optimized SmPa2Te5 structure. Source: Alexandria via LeMat-Bulk, functional GGA-PBE.

Formation energy from raw total energies   -0.970 eV per atom
E_tot   -5.8976 eV/atom
Calculated volume   29.9 Å³/atom
D(E_F)   8.190 states/eV/f.u.

Cell: 8.1098 8.1098 9.2702 Å, 115.94 115.94 90.00°
Last column: nearest neighbours and their distance in Å.
Positions (direct):
Te1 0.3102 0.8102 0.2957  3 Pa 3.13-3.27, 2 Sm 3.38
Pa1 0.6402 0.1402 0.0000  8 Te 3.13-3.27, 1 Pa 3.22
Sm1 0.2500 0.2500 0.5000  10 Te 3.38-3.64
Te2 0.5145 0.6898 0.7043  3 Pa 3.13-3.27, 2 Sm 3.38
Te3 0.5000 0.5000 0.0000  4 Pa 3.13
Pa2 0.8598 0.6402 0.0000  8 Te 3.13-3.27, 1 Pa 3.22
Te4 0.1898 0.0145 0.7043  3 Pa 3.13-3.27, 2 Sm 3.38
Te5 0.0000 0.0000 0.0000  4 Pa 3.13
Te6 0.9855 0.4855 0.2957  3 Pa 3.13-3.27, 2 Sm 3.38
Te7 0.4855 0.3102 0.2957  3 Pa 3.13-3.27, 2 Sm 3.38
Pa3 0.1402 0.3598 0.0000  8 Te 3.13-3.27, 1 Pa 3.22
Pa4 0.3598 0.8598 0.0000  8 Te 3.13-3.27, 1 Pa 3.22
Te8 0.0145 0.5145 0.7043  3 Pa 3.13-3.27, 2 Sm 3.38
Sm2 0.7500 0.7500 0.5000  10 Te 3.38-3.64
Te9 0.6898 0.1898 0.7043  3 Pa 3.13-3.27, 2 Sm 3.38
Te10 0.8102 0.9855 0.2957  3 Pa 3.13-3.27, 2 Sm 3.38